A plane-wave DFT calculation with PBE was carried out for TlRe2Pb after structural relaxation.

Results
- polymorph energy (0 for the lowest one) (meV per atom) = 186
- formation energy (meV per atom) = 632

Lattice parameters (Å, degrees): 10.935 10.935 10.935 15.82 15.82 15.82
Sites, in units of the cell vectors:
Tl (0.000, 0.000, 0.000)
Re (0.253, 0.253, 0.253)
Re (0.525, 0.525, 0.525)
Pb (0.778, 0.778, 0.778)

=====

A plane-wave DFT calculation with PBE was carried out for PuHf3Sc2N6 after structural relaxation.

Results
- energy relative to the elements, uncorrected (eV per atom) = -1.78

Lattice parameters (Å, degrees): 7.274 7.274 6.525 103.27 103.27 25.77
Sites, in units of the cell vectors:
Pu (0.000, 0.000, 0.000)
Hf (0.000, 0.000, 0.500)
Hf (0.331, 0.331, 0.169)
Hf (0.669, 0.669, 0.831)
Sc (0.331, 0.331, 0.663)
Sc (0.669, 0.669, 0.337)
N (0.166, 0.166, 0.587)
N (0.172, 0.172, 0.081)
N (0.499, 0.499, 0.266)
N (0.501, 0.501, 0.734)
N (0.828, 0.828, 0.919)
N (0.834, 0.834, 0.413)